A relaxed structure of LuAlGe. Source: OQMD via LeMat-Bulk, functional PBE.

abc: 5.4922 5.4922 5.6820
angles: 90.00 90.00 136.89
With the nearest neighbours (Å) after each atom.
Positions (direct):
Al: 0.0000 0.0000 0.0000  4 Ge 2.70, 2 Al 2.84
Al: 0.0000 0.0000 0.5000  4 Ge 2.70, 2 Al 2.84
Ge: 0.3922 0.6078 0.2500  4 Al 2.70, 4 Lu 2.88-2.96
Ge: 0.6078 0.3922 0.7500  4 Al 2.70, 4 Lu 2.88-2.96
Lu: 0.6905 0.3095 0.2500  5 Ge 2.88-3.05, 4 Al 3.14
Lu: 0.3095 0.6905 0.7500  5 Ge 2.88-3.05, 4 Al 3.14

Output
Space-group type ... Cmcm (63)
Total DFT energy (no corrections) ... -4.899 eV per atom